A relaxed structure of YMoAu2. Source: Alexandria via LeMat-Bulk, functional PBE.

Cell lengths 10.0011, 3.2148, 5.1040 Å; angles 90.00, 105.68, 90.00 degrees
Space group Cm (No. 8)
Unique sites:
1 Y 0.0000 0.0000 0.0000 x2
2 Mo 0.2591 0.5000 0.3256 x2
3 Au 0.0003 0.5000 0.4869 x2
4 Au 0.2412 0.0000 0.7861 x2

Results
E_form   -0.03 eV per formula unit
Density   12.2 g cm⁻³
Crystal system   monoclinic

***

A relaxed structure of NaSc3Br. Source: Alexandria via LeMat-Bulk, functional PBE.

Cell lengths 5.1328, 5.1328, 5.1328 Å; angles 90.00, 90.00, 90.00 degrees
Space group Pm-3m (No. 221)
Unique sites:
1 Na 0.0000 0.0000 0.0000 x1
2 Sc 0.0000 0.5000 0.5000 x3
3 Br 0.5000 0.5000 0.5000 x1

Results
Density   2.9 g cm⁻³
Energy relative to the elements, uncorrected   0.123 eV per atom
Crystal system   cubic